[1]
Computed, not measured: a relaxed structure of BaHoZnS3 at the GGA-PBE level of DFT.

Cell and atoms, written as POSCAR:
```
BaHoZnS3
1.0
2.058 -6.840 0.000
2.058 6.840 0.000
0.000 0.000 10.293
S Zn Ba Ho
6 2 2 2
direct
0.565 0.435 0.750
0.435 0.565 0.250
0.130 0.870 0.433
0.870 0.130 0.567
0.130 0.870 0.067
0.870 0.130 0.933
0.974 0.026 0.750
0.026 0.974 0.250
0.247 0.753 0.750
0.753 0.247 0.250
0.500 0.500 0.500
0.500 0.500 0.000
```

Computed properties:
* crystal system: orthorhombic



[2]
Computed, not measured: a relaxed structure of GdSbN2O at the GGA-PBE level of DFT.

Cell and atoms, written as POSCAR:
```
GdSbN2O
1.0
-5.442 -3.446 -0.956
2.578 0.428 5.965
-6.603 9.834 2.148
N Sb Gd O
12 6 6 6
direct
0.355 0.355 0.341
0.000 0.313 0.162
0.313 0.313 0.662
0.645 0.645 0.841
0.687 0.687 0.162
0.687 0.000 0.662
0.313 0.000 0.162
0.355 0.000 0.841
0.000 0.687 0.662
0.000 0.355 0.841
0.000 0.645 0.341
0.645 0.000 0.341
0.000 0.334 0.001
0.334 0.334 0.501
0.334 0.000 0.001
0.000 0.666 0.501
0.666 0.000 0.501
0.666 0.666 0.001
0.000 0.000 0.268
0.333 0.667 0.238
0.667 0.333 0.738
0.000 0.000 0.768
0.333 0.667 0.738
0.667 0.333 0.238
0.333 0.667 0.021
0.000 0.000 0.977
0.000 0.000 0.477
0.333 0.667 0.521
0.667 0.333 0.021
0.667 0.333 0.521
```

Computed properties:
* crystal system: hexagonal



[3]
Computed, not measured: a relaxed structure of HoErSn2Ge2 at the GGA-PBE level of DFT.

Cell and atoms, written as POSCAR:
```
HoErSn2Ge2
1.0
-0.177 -1.457 3.787
5.814 5.554 2.410
2.087 7.555 3.006
Ge Sn Er Ho
2 2 1 1
direct
0.000 0.054 0.054
0.500 0.946 0.946
0.500 0.246 0.246
0.000 0.754 0.754
0.000 0.406 0.406
0.500 0.594 0.594
```

Computed properties:
* crystal system: orthorhombic



Here are the calculated raw total energy numbers, same order: -4.89, -6.89, -5.01 (eV per atom).